(1)
Density functional theory data (GGA-PBE) for a relaxed structure of Sr2LaTa.

a b c (Å): 5.8010 5.8010 5.8010
angles (deg): 60.00 60.00 60.00
Site moments in Bohr magnetons follow the coordinates.
Fractional positions:
Ta (0.5000, 0.5000, 0.5000)  1.46
Sr (0.2500, 0.2500, 0.2500)  0.04
Sr (0.7500, 0.7500, 0.7500)  0.04
La (0.0000, 0.0000, 0.0000)  -0.04

Output
calculated formation energy	0.938	eV per atom
distance to the lowest polymorph of the same formula	372	meV per atom

(2)
Density functional theory data (GGA-PBE) for a relaxed structure of SrLa2Ta.

a b c (Å): 5.7984 5.7984 7.1322
angles (deg): 85.17 85.17 33.86
Fractional positions:
La (0.9925, 0.9925, 0.0361)
Ta (0.2557, 0.2557, 0.1848)
La (0.7440, 0.7440, 0.8004)
Sr (0.5079, 0.5079, 0.4786)

Output
calculated formation energy	0.608	eV per atom
distance to the lowest polymorph of the same formula	218	meV per atom

(3)
Density functional theory data (GGA-PBE) for a relaxed structure of SrLaTa2.

a b c (Å): 4.9395 4.9395 7.8309
angles (deg): 87.45 87.45 37.27
Fractional positions:
Sr (0.2549, 0.2549, 0.1999)
La (0.4920, 0.4920, 0.5656)
Ta (0.0083, 0.0083, 0.9303)
Ta (0.7447, 0.7447, 0.8041)

Output
calculated formation energy	0.645	eV per atom
distance to the lowest polymorph of the same formula	242	meV per atom

(4)
Density functional theory data (GGA-PBE) for a relaxed structure of SrLa2Ta.

a b c (Å): 3.5759 3.7752 10.1302
angles (deg): 90.00 90.00 90.00
Fractional positions:
La (0.0000, 0.0000, 0.5620)
Sr (0.5000, 0.5000, 0.2500)
La (0.0000, 0.0000, 0.9380)
Ta (0.5000, 0.5000, 0.7500)

Output
calculated formation energy	0.390	eV per atom
distance to the lowest polymorph of the same formula	0	meV per atom

(5)
Density functional theory data (GGA-PBE) for a relaxed structure of SrLa2Ta.

a b c (Å): 8.9915 8.9915 7.2529
angles (deg): 51.69 51.69 90.00
Fractional positions:
La (0.7049, 0.1250, 0.2500)
Sr (0.2500, 0.7500, 0.5000)
Ta (0.0000, 0.0000, 0.0000)
La (0.8750, 0.9549, 0.7500)
La (0.3750, 0.2951, 0.7500)
Ta (0.7500, 0.2500, 0.5000)
La (0.0451, 0.6250, 0.2500)
Sr (0.5000, 0.5000, 0.0000)

Output
calculated formation energy	0.805	eV per atom
distance to the lowest polymorph of the same formula	415	meV per atom

(6)
Density functional theory data (GGA-PBE) for a relaxed structure of Sr2LaTa.

a b c (Å): 3.9510 3.9510 9.4084
angles (deg): 90.00 90.00 90.00
Fractional positions:
La (0.5000, 0.5000, 0.6783)
Ta (0.0000, 0.0000, 0.5478)
Sr (0.5000, 0.5000, 0.3097)
Sr (0.0000, 0.0000, 0.9642)

Output
calculated formation energy	0.566	eV per atom
distance to the lowest polymorph of the same formula	0	meV per atom

(7)
Density functional theory data (GGA-PBE) for a relaxed structure of SrLa2Ta.

a b c (Å): 5.5720 5.5720 5.5720
angles (deg): 60.00 60.00 60.00
Site moments in Bohr magnetons follow the coordinates.
Fractional positions:
Ta (0.5000, 0.5000, 0.5000)  0.39
Sr (0.0000, 0.0000, 0.0000)  -0.02
La (0.7500, 0.7500, 0.7500)  0.03
La (0.2500, 0.2500, 0.2500)  0.03

Output
calculated formation energy	0.611	eV per atom
distance to the lowest polymorph of the same formula	221	meV per atom

(8)
Density functional theory data (GGA-PBE) for a relaxed structure of Sr2LaTa.

a b c (Å): 5.3807 5.3807 8.1712
angles (deg): 85.43 85.43 37.84
Fractional positions:
Sr (0.7646, 0.7646, 0.7006)
La (0.2380, 0.2380, 0.3195)
Sr (0.9966, 0.9966, 0.0458)
Ta (0.5008, 0.5008, 0.4340)

Output
calculated formation energy	0.692	eV per atom
distance to the lowest polymorph of the same formula	126	meV per atom

Total DFT energy (no corrections) values, unit eV per atom, following the record order: -4.098, -5.240, -6.934, -5.457, -5.043, -4.470, -5.236, -4.344.
Size of the total moment values, unit μB/cell, following the record order: 2.45, 0.00, 0.00, 0.00, 0.00, 0.00, 0.63, 0.00.